Below is an optimized crystal structure of CoBi2Os2, with properties calculated at the PBE level.

```
CoBi2Os2
1.0
7.8516 0.0000 0.0000
0.0000 7.8516 0.0000
0.0000 0.0000 3.1792
Co Bi Os
2 4 4
Direct
0.0000 0.0000 0.0000
0.5000 0.5000 0.0000
0.1579 0.3421 0.0000
0.3421 0.8421 0.0000
0.6579 0.1579 0.0000
0.8421 0.6579 0.0000
0.1409 0.6409 0.5000
0.3591 0.1409 0.5000
0.6409 0.8591 0.5000
0.8591 0.3591 0.5000
```

Output
The energy above the most stable polymorph in this dataset comes out at 332 meV per atom. For the volume, the calculation gives 196 Å³/cell. The value obtained for the density of states at the Fermi level is 1.295 states/eV per atom. The total energy is -61.68 eV per cell. The calculation puts the formation energy at 6.5 eV per formula unit.



Below is an optimized crystal structure of CoBi2Os2, with properties calculated at the PBE level.

```
CoBi2Os2
1.0
3.5160 0.0000 0.0000
0.0000 3.5160 0.0000
0.0000 0.0000 17.0843
Co Bi Os
2 4 4
Direct
0.0000 0.0000 0.0000
0.5000 0.5000 0.5000
0.0000 0.0000 0.4018
0.0000 0.0000 0.5982
0.5000 0.5000 0.0982
0.5000 0.5000 0.9018
0.0000 0.5000 0.2500
0.0000 0.5000 0.7500
0.5000 0.0000 0.2500
0.5000 0.0000 0.7500
```

Output
The energy above the most stable polymorph in this dataset comes out at 0 meV per atom. For the volume, the calculation gives 211 Å³/cell. The value obtained for the density of states at the Fermi level is 1.124 states/eV per atom. The total energy is -65.00 eV per cell. The calculation puts the formation energy at 4.8 eV per formula unit.



Below is an optimized crystal structure of Co2ReBiOs, with properties calculated at the PBE level.

```
Co2ReBiOs
1.0
4.4698 0.0000 0.0000
0.0000 4.4698 0.0000
0.0000 0.0000 5.1463
Co Re Bi Os
2 1 1 1
Direct
0.0000 0.5000 0.0000
0.5000 0.0000 0.0000
0.0000 0.0000 0.5000
0.5000 0.5000 0.5000
0.5000 0.5000 0.0000
```

Output
For the volume, the calculation gives 103 Å³/cell. The value obtained for the density of states at the Fermi level is 1.680 states/eV per atom. The total energy is -31.51 eV per cell. The calculation puts the formation energy at 10.3 eV per formula unit.



Below is an optimized crystal structure of CoBiOsRu2, with properties calculated at the PBE level.

```
CoBiOsRu2
1.0
4.7268 0.0000 0.0000
0.0000 4.7268 0.0000
0.0000 0.0000 4.5591
Co Bi Os Ru
1 1 1 2
Direct
0.0000 0.0000 0.0000
0.5000 0.5000 0.0000
0.0000 0.0000 0.5000
0.0000 0.5000 0.5000
0.5000 0.0000 0.5000
```

Output
For the volume, the calculation gives 102 Å³/cell. The value obtained for the density of states at the Fermi level is 1.294 states/eV per atom. The total energy is -34.13 eV per cell. The calculation puts the formation energy at 6.6 eV per formula unit.



Below is an optimized crystal structure of CoTcBi2Os, with properties calculated at the PBE level.

```
CoTcBi2Os
1.0
5.2050 0.0000 0.0000
0.0000 5.2050 0.0000
0.0000 0.0000 4.3520
Co Tc Bi Os
1 1 2 1
Direct
0.0000 0.0000 0.0000
0.0000 0.0000 0.5000
0.0000 0.5000 0.5000
0.5000 0.0000 0.5000
0.5000 0.5000 0.0000
```

Output
For the volume, the calculation gives 118 Å³/cell. The value obtained for the density of states at the Fermi level is 1.311 states/eV per atom. The total energy is -27.90 eV per cell. The calculation puts the formation energy at 8.6 eV per formula unit.



Below is an optimized crystal structure of CoBiOs2W, with properties calculated at the PBE level.

```
CoBiOs2W
1.0
4.8918 0.0000 0.0000
0.0000 4.8918 0.0000
0.0000 0.0000 5.0311
Co Bi Os W
1 1 2 1
Direct
0.0000 0.0000 0.0000
0.5000 0.5000 0.5000
0.0000 0.5000 0.5000
0.5000 0.0000 0.5000
0.5000 0.5000 0.0000
```

Output
For the volume, the calculation gives 120 Å³/cell. The value obtained for the density of states at the Fermi level is 2.170 states/eV per atom. The total energy is -28.79 eV per cell. The calculation puts the formation energy at 17.6 eV per formula unit.